# Li5Fe5Cu2O12 | the Alexandria database | PBE+U | optimized geometry
# Magnetization, Bohr magnetons per cell: 42.1
# Uncorrected energy, eV/f.u.: -138.9
data_Li5Fe5Cu2O12
_chemical_formula_sum 'Li10 Fe10 Cu4 O24'
_symmetry_space_group_name_H-M 'C 1 2 1'
_symmetry_Int_Tables_number 5
_cell_length_a 5.4166
_cell_length_b 8.6610
_cell_length_c 9.6926
_cell_angle_alpha 90.00
_cell_angle_beta 95.08
_cell_angle_gamma 90.00
loop_
_symmetry_equiv_pos_as_xyz
'x,y,z'
'-x,y,-z'
'x+1/2,y+1/2,z'
'-x+1/2,y+1/2,-z'
loop_
_atom_site_label
_atom_site_type_symbol
_atom_site_fract_x
_atom_site_fract_y
_atom_site_fract_z
Li1 Li 0.0000 0.0000 0.0000
Li2 Li 0.2164 0.8284 0.2328
Li3 Li 0.2446 0.5089 0.2339
Fe1 Fe 0.0000 0.3341 0.0000
Fe2 Fe 0.0000 0.4969 0.5000
Fe3 Fe 0.0000 0.8302 0.5000
Fe4 Fe 0.2492 0.1639 0.2416
Cu1 Cu 0.0000 0.1633 0.5000
Cu2 Cu 0.0000 0.6713 0.0000
O1 O 0.0753 0.1767 0.8625
O2 O 0.0840 0.6664 0.3709
O3 O 0.1090 0.5019 0.8776
O4 O 0.1301 0.8284 0.8773
O5 O 0.1443 0.9975 0.3871
O6 O 0.1664 0.3270 0.3964